No. 1
The following is a DFT calculation (PBE-GGA) of an optimized crystal structure of Fe2Ni5H2.

Its total energy is -5.88 eV per atom. The magnetic moment comes out at 15.4 Bohr magnetons per cell.

It has space group C2/m (No. 12), with a = 8.171 Å, b = 3.587 Å, c = 5.666 Å, α = 90.00°, β = 97.17° and γ = 90.00°. Symmetry generates all atoms from Fe at (0.070, 0.000, 0.206), Ni at (0.000, 0.500, 0.500), Ni at (0.140, 0.500, 0.930), Ni at (0.213, 0.000, 0.646) and H at (0.202, 0.500, 0.636).

---

No. 2
The following is a DFT calculation (PBE-GGA) of an optimized crystal structure of Fe3Ni4H4.

Its total energy is -5.48 eV per atom. The magnetic moment comes out at 18.1 Bohr magnetons per cell.

It has space group Immm (No. 71), with a = 2.537 Å, b = 6.809 Å, c = 10.943 Å, α = 90.00°, β = 90.00° and γ = 90.00°. Symmetry generates all atoms from Fe at (0.000, 0.000, 0.000), Fe at (0.000, 0.500, 0.121), Ni at (0.000, 0.311, 0.338), H at (0.000, 0.000, 0.159) and H at (0.000, 0.313, 0.500).

---

No. 3
The following is a DFT calculation (PBE-GGA) of an optimized crystal structure of Fe3Ni4H9.

Its total energy is -4.85 eV per atom. The magnetic moment comes out at 24.1 Bohr magnetons per cell.

It has space group R3 (No. 146, hexagonal axes), with a = 4.2907 Å, b = 4.2907 Å, c = 19.7126 Å, α = 90.00°, β = 90.00° and γ = 120.00°. Symmetry generates all atoms from Fe at (0.0000, 0.0000, 0.0000), Fe at (0.0000, 0.0000, 0.1280), Fe at (0.0000, 0.0000, 0.6073), Ni at (0.0000, 0.0000, 0.2636), Ni at (0.0000, 0.0000, 0.3985), Ni at (0.0000, 0.0000, 0.7385), Ni at (0.0000, 0.0000, 0.8687), H at (0.0014, 0.5758, 0.9989), H at (0.0049, 0.5729, 0.1239) and H at (0.0606, 0.3405, 0.2136).

---

No. 4
The following is a DFT calculation (PBE-GGA) of an optimized crystal structure of Fe3NiH3.

Its total energy is -5.82 eV per atom. The magnetic moment comes out at 28.6 Bohr magnetons per cell.

It has space group Cmcm (No. 63), with a = 6.798 Å, b = 6.058 Å, c = 5.328 Å, α = 90.00°, β = 90.00° and γ = 90.00°. Symmetry generates all atoms from Fe at (0.000, 0.216, 0.250), Fe at (0.194, 0.500, 0.000), Ni at (0.000, 0.211, 0.750), H at (0.000, 0.494, 0.750) and H at (0.155, 0.004, 0.750).

---

No. 5
The following is a DFT calculation (PBE-GGA) of an optimized crystal structure of Fe8NiH6.

Its total energy is -6.23 eV per atom. The magnetic moment comes out at 55.1 Bohr magnetons per cell.

It has space group R-3 (No. 148, hexagonal axes), with a = 4.5327 Å, b = 4.5327 Å, c = 19.4058 Å, α = 90.00°, β = 90.00° and γ = 120.00°. Symmetry generates all atoms from Fe at (0.0000, 0.0000, 0.1665), Fe at (0.9999, 0.3315, 0.6126), Ni at (0.0000, 0.0000, 0.5000) and H at (0.0000, 0.3412, 0.4445).

---

No. 6
The following is a DFT calculation (PBE-GGA) of an optimized crystal structure of FeNiH3.

Its total energy is -4.77 eV per atom. The magnetic moment comes out at 9.1 Bohr magnetons per cell.

It has space group P2_1/c (No. 14), with a = 5.521 Å, b = 4.436 Å, c = 5.497 Å, α = 90.00°, β = 115.44° and γ = 90.00°. Symmetry generates all atoms from Fe at (0.090, 0.236, 0.148), Ni at (0.418, 0.747, 0.858), H at (0.098, 0.633, 0.182), H at (0.296, 0.063, 0.465) and H at (0.346, 0.530, 0.585).

---

No. 7
The following is a DFT calculation (PBE-GGA) of an optimized crystal structure of Fe2NiH.

Its total energy is -6.53 eV per atom. The magnetic moment comes out at 11.0 Bohr magnetons per cell. The energy above the most stable polymorph in this dataset is 0.0 meV/atom.

It has space group I4mm (No. 107), with a = 2.551 Å, b = 2.551 Å, c = 11.170 Å, α = 90.00°, β = 90.00° and γ = 90.00°. Symmetry generates all atoms from Fe at (0.000, 0.000, 0.000), Fe at (0.000, 0.000, 0.321), Ni at (0.000, 0.000, 0.657) and H at (0.000, 0.000, 0.830).

---

No. 8
The following is a DFT calculation (PBE-GGA) of an optimized crystal structure of FeNi3H3.

Its total energy is -5.12 eV per atom. The magnetic moment comes out at 18.5 Bohr magnetons per cell. The energy above the most stable polymorph in this dataset is 4.6 meV/atom.

It has space group R-3 (No. 148, hexagonal axes), with a = 4.4330 Å, b = 4.4330 Å, c = 18.8849 Å, α = 90.00°, β = 90.00° and γ = 120.00°. Symmetry generates all atoms from Fe at (0.0000, 0.0000, 0.1672), Ni at (0.0001, 0.3320, 0.6121) and H at (0.9995, 0.3321, 0.4393).

---

No. 9
The following is a DFT calculation (PBE-GGA) of an optimized crystal structure of Fe2NiH.

Its total energy is -6.30 eV per atom. The magnetic moment comes out at 21.6 Bohr magnetons per cell. The energy above the most stable polymorph in this dataset is 229.6 meV/atom.

It has space group I-42d (No. 122), with a = 5.747 Å, b = 5.747 Å, c = 4.593 Å, α = 90.00°, β = 90.00° and γ = 90.00°. Symmetry generates all atoms from Fe at (0.148, 0.250, 0.125), Ni at (0.000, 0.000, 0.500) and H at (0.000, 0.000, 0.000).

---

No. 10
The following is a DFT calculation (PBE-GGA) of an optimized crystal structure of FeNiH2.

Its total energy is -5.20 eV per atom. The magnetic moment comes out at 10.0 Bohr magnetons per cell.

It has space group I-42d (No. 122), with a = 3.893 Å, b = 3.893 Å, c = 7.626 Å, α = 90.00°, β = 90.00° and γ = 90.00°. Symmetry generates all atoms from Fe at (0.000, 0.000, 0.000), Ni at (0.000, 0.000, 0.500) and H at (0.237, 0.250, 0.625).

---

No. 11
The following is a DFT calculation (PBE-GGA) of an optimized crystal structure of Fe2NiH2.

Its total energy is -5.76 eV per atom. The magnetic moment comes out at 9.5 Bohr magnetons per cell. The energy above the most stable polymorph in this dataset is 32.9 meV/atom.

It has space group I4/mmm (No. 139), with a = 3.120 Å, b = 3.120 Å, c = 8.076 Å, α = 90.00°, β = 90.00° and γ = 90.00°. Symmetry generates all atoms from Fe at (0.000, 0.000, 0.159), Ni at (0.000, 0.000, 0.500) and H at (0.000, 0.500, 0.250).

---

No. 12
The following is a DFT calculation (PBE-GGA) of an optimized crystal structure of FeNi2H3.

Its total energy is -5.04 eV per atom. The magnetic moment comes out at 5.2 Bohr magnetons per cell. The energy above the most stable polymorph in this dataset is 0.0 meV/atom.

It has space group I4/mmm (No. 139), with a = 2.632 Å, b = 2.632 Å, c = 11.314 Å, α = 90.00°, β = 90.00° and γ = 90.00°. Symmetry generates all atoms from Fe at (0.000, 0.000, 0.000), Ni at (0.000, 0.000, 0.335), H at (0.000, 0.000, 0.171) and H at (0.000, 0.000, 0.500).